a | A plane-wave DFT calculation with GGA-PBE was carried out for crystalline Ag7Pd2Pt2 at its relaxed geometry.

SG	C2/m

```
11
Lattice="4.795 -4.416 0.000 4.795 4.416 0.000 -1.209 0.000 4.671" Properties=species:S:1:pos:R:3 pbc="T T T"
Ag 0.000 0.000 0.000
Ag 2.160 1.452 1.216
Ag 4.795 1.408 0.000
Ag 2.160 -1.452 1.216
Ag 6.220 1.452 3.455
Ag 4.795 -1.408 0.000
Ag 6.220 -1.452 3.455
Pd 4.190 2.995 2.335
Pd 4.190 -2.995 2.335
Pt 1.435 0.000 3.520
Pt 6.945 0.000 1.150
```

b | A plane-wave DFT calculation with GGA-PBE was carried out for crystalline Ag7Pd2Pt2 at its relaxed geometry.

SG	Immm

```
11
Lattice="-2.319 4.618 4.636 2.319 -4.618 4.636 2.319 4.618 -4.636" Properties=species:S:1:pos:R:3 pbc="T T T"
Ag 0.000 0.000 0.000
Ag 2.319 3.108 -2.207
Ag 0.000 3.162 0.000
Ag 0.000 1.510 2.428
Ag 2.319 3.108 2.207
Ag 0.000 6.073 0.000
Ag 0.000 1.510 6.843
Pd 2.319 1.480 0.000
Pd 0.000 3.137 4.636
Pt 2.319 0.000 2.263
Pt 0.000 4.618 2.373
```

The most stable arrangement is a, and the next structure is 0.009 eV/atom less stable.

a | A plane-wave DFT calculation with GGA-PBE was carried out for crystalline Ag5Pd4Pt2 at its relaxed geometry.

SG	C2/m

```
11
Lattice="9.924 -1.404 0.000 9.924 1.404 0.000 -1.001 0.000 6.849" Properties=species:S:1:pos:R:3 pbc="T T T"
Ag 0.000 0.000 0.000
Ag 6.344 0.000 0.108
Ag 7.303 0.000 4.857
Ag 11.544 0.000 1.993
Ag 12.503 0.000 6.741
Pd 2.404 0.000 4.367
Pd 8.791 0.000 2.228
Pd 10.056 0.000 4.621
Pd 16.443 0.000 2.483
Pt 4.160 0.000 2.258
Pt 14.686 0.000 4.592
```

b | A plane-wave DFT calculation with GGA-PBE was carried out for crystalline Ag5Pd4Pt2 at its relaxed geometry.

SG	C2/m

```
11
Lattice="9.703 -1.377 0.000 9.703 1.377 0.000 -0.511 0.000 6.994" Properties=species:S:1:pos:R:3 pbc="T T T"
Ag 0.000 0.000 0.000
Ag 5.092 0.000 1.336
Ag 6.521 0.000 6.251
Ag 12.374 0.000 0.743
Ag 13.803 0.000 5.658
Pd 3.119 0.000 3.354
Pd 8.483 0.000 4.462
Pd 10.412 0.000 2.532
Pd 15.776 0.000 3.640
Pt 7.833 0.000 1.875
Pt 11.063 0.000 5.119
```

The most stable arrangement is a, and the next structure is 0.020 eV/atom less stable.

a | A plane-wave DFT calculation with GGA-PBE was carried out for crystalline Ag7Pd4Pt at its relaxed geometry.

SG	C2/m

```
12
Lattice="5.090 -2.506 0.000 5.090 2.506 0.000 -4.918 0.000 8.715" Properties=species:S:1:pos:R:3 pbc="T T T"
Ag 0.000 0.000 0.000
Ag -1.444 0.000 5.398
Ag -2.355 0.000 7.968
Ag 1.272 0.000 4.775
Ag 3.990 0.000 3.940
Ag 7.618 0.000 0.747
Ag 6.706 0.000 3.317
Pd -0.589 0.000 2.699
Pd 2.095 0.000 1.972
Pd 3.168 0.000 6.743
Pd 5.851 0.000 6.016
Pt 5.090 0.000 0.000
```

b | A plane-wave DFT calculation with GGA-PBE was carried out for crystalline Ag7Pd4Pt at its relaxed geometry.

SG	P-1

```
12
Lattice="4.961 0.000 0.000 0.003 5.760 0.000 0.869 1.503 7.040" Properties=species:S:1:pos:R:3 pbc="T T T"
Ag 0.000 0.000 0.000
Ag 0.853 4.328 2.349
Ag 2.513 1.485 4.656
Ag 2.471 1.459 0.020
Ag 3.363 5.803 7.020
Ag 3.321 5.778 2.384
Ag 4.981 2.934 4.692
Pd 0.811 1.478 2.328
Pd 2.495 4.360 4.715
Pd 3.339 2.902 2.326
Pd 5.023 5.785 4.712
Pt 0.002 2.880 0.000
```

The most stable arrangement is b, and the next structure is 0.311 eV/atom less stable.

a | A plane-wave DFT calculation with GGA-PBE was carried out for crystalline Ag8Pd2Pt at its relaxed geometry.

SG	C2/m

```
11
Lattice="6.630 -3.544 0.000 6.630 3.544 0.000 -1.460 0.000 4.188" Properties=species:S:1:pos:R:3 pbc="T T T"
Ag 4.124 2.024 1.466
Ag 6.630 2.098 0.000
Ag 3.368 0.000 3.548
Ag 7.676 2.024 2.722
Ag 4.124 -2.024 1.466
Ag 8.432 0.000 0.641
Ag 6.630 -2.098 0.000
Ag 7.676 -2.024 2.722
Pd 2.320 0.000 0.821
Pd 9.479 0.000 3.368
Pt 5.900 0.000 2.094
```

b | A plane-wave DFT calculation with GGA-PBE was carried out for crystalline Ag8Pd2Pt at its relaxed geometry.

SG	C2/m

```
11
Lattice="6.107 -3.726 0.000 6.107 3.726 0.000 -1.019 0.000 4.713" Properties=species:S:1:pos:R:3 pbc="T T T"
Ag 4.545 2.331 3.362
Ag 0.969 0.000 3.924
Ag 6.649 2.331 1.351
Ag 2.927 0.000 1.881
Ag 8.267 0.000 2.832
Ag 4.545 -2.331 3.362
Ag 10.225 0.000 0.789
Ag 6.649 -2.331 1.351
Pd 3.741 0.000 4.530
Pd 7.453 0.000 0.183
Pt 5.597 0.000 2.357
```

The most stable arrangement is a, and the next structure is 0.106 eV/atom less stable.

a | A plane-wave DFT calculation with GGA-PBE was carried out for crystalline Ag6Pd8Pt at its relaxed geometry.

SG	R-3

```
15
Lattice="3.659 2.113 5.689 -3.659 2.113 5.689 0.000 -4.225 5.689" Properties=species:S:1:pos:R:3 pbc="T T T"
Ag -1.002 -1.346 6.716
Ag -1.667 0.195 10.352
Ag -0.664 1.541 6.716
Ag 0.664 -1.541 10.352
Ag 1.667 -0.195 6.716
Ag 1.002 1.346 10.352
Pd -2.932 0.576 7.662
Pd -1.965 -2.251 9.405
Pd 0.000 0.000 4.275
Pd 0.967 -2.827 7.662
Pd -0.967 2.827 9.405
Pd 0.000 0.000 12.792
Pd 1.965 2.251 7.662
Pd 2.932 -0.576 9.405
Pt 0.000 0.000 0.000
```

b | A plane-wave DFT calculation with GGA-PBE was carried out for crystalline Ag6Pd8Pt at its relaxed geometry.

SG	P-3

```
15
Lattice="10.501 0.000 0.000 -5.250 9.094 0.000 0.000 0.000 2.793" Properties=species:S:1:pos:R:3 pbc="T T T"
Ag -1.458 4.215 0.730
Ag -0.871 8.249 0.730
Ag 2.921 3.370 2.063
Ag 2.329 5.724 0.730
Ag 6.122 0.845 2.063
Ag 6.708 4.879 2.063
Pd -3.436 7.287 0.648
Pd 0.658 2.475 0.648
Pd 2.472 0.668 2.145
Pd 0.000 6.063 2.134
Pd 5.250 3.031 0.659
Pd 2.778 8.426 0.648
Pd 4.593 6.619 2.145
Pd 8.687 1.807 2.145
Pt 0.000 0.000 1.396
```

The most stable arrangement is a, and the next structure is 0.056 eV/atom less stable.

a | A plane-wave DFT calculation with GGA-PBE was carried out for crystalline Ag3Pd6Pt at its relaxed geometry.

SG	P2_1/m

```
20
Lattice="7.504 0.000 0.000 0.000 4.657 0.000 -3.178 0.000 9.227" Properties=species:S:1:pos:R:3 pbc="T T T"
Ag 0.018 1.164 2.157
Ag 2.150 1.164 0.300
Ag 1.125 3.493 3.378
Ag 3.201 1.164 5.849
Ag 2.176 3.493 8.927
Ag 4.308 3.493 7.069
Pd 0.544 3.493 0.598
Pd -1.547 1.164 6.737
Pd 0.512 1.164 4.955
Pd -0.507 3.493 7.959
Pd 1.576 3.493 6.139
Pd 3.216 3.493 1.515
Pd 1.110 1.164 7.711
Pd 2.750 1.164 3.087
Pd 4.833 1.164 1.268
Pd 3.814 3.493 4.271
Pd 5.873 3.493 2.490
Pd 3.782 1.164 8.629
Pt -1.059 3.493 5.208
Pt 5.385 1.164 4.018
```

b | A plane-wave DFT calculation with GGA-PBE was carried out for crystalline Ag3Pd6Pt at its relaxed geometry.

SG	P-31m

```
10
Lattice="5.238 0.000 0.000 -2.619 4.537 0.000 0.000 0.000 7.269" Properties=species:S:1:pos:R:3 pbc="T T T"
Ag 0.000 0.000 0.000
Ag 0.000 3.024 0.000
Ag 2.619 1.512 0.000
Pd -1.116 1.933 2.315
Pd -1.503 2.604 4.954
Pd 2.232 0.000 2.315
Pd 1.116 1.933 4.954
Pd 3.006 0.000 4.954
Pd 1.503 2.604 2.315
Pt 0.000 0.000 3.634
```

The most stable arrangement is a, and the next structure is 0.168 eV/atom less stable.

a | A plane-wave DFT calculation with GGA-PBE was carried out for crystalline Ag5Pd4Pt at its relaxed geometry.

SG	Pmmn

```
20
Lattice="7.481 0.000 0.000 0.000 8.333 0.000 0.000 0.000 6.094" Properties=species:S:1:pos:R:3 pbc="T T T"
Ag 0.450 0.660 1.153
Ag 0.450 3.506 1.153
Ag 1.870 2.083 3.228
Ag 3.291 0.660 1.153
Ag 3.291 3.506 1.153
Ag 4.190 4.826 4.941
Ag 4.190 7.673 4.941
Ag 5.611 6.250 2.867
Ag 7.032 4.826 4.941
Ag 7.032 7.673 4.941
Pd 0.367 6.250 1.381
Pd 1.870 4.824 3.199
Pd 1.870 7.675 3.199
Pd 3.374 6.250 1.381
Pd 4.108 2.083 4.713
Pd 5.611 0.658 2.895
Pd 5.611 3.509 2.895
Pd 7.114 2.083 4.713
Pt 1.870 6.250 5.375
Pt 5.611 2.083 0.719
```

b | A plane-wave DFT calculation with GGA-PBE was carried out for crystalline Ag5Pd4Pt at its relaxed geometry.

SG	P-1

```
10
Lattice="4.929 0.000 0.000 1.645 5.521 0.000 1.650 1.007 6.077" Properties=species:S:1:pos:R:3 pbc="T T T"
Ag 0.000 0.000 0.000
Ag 2.473 2.269 3.663
Ag 2.448 0.763 1.238
Ag 5.776 5.765 4.839
Ag 5.750 4.259 2.414
Pd 3.278 4.992 3.641
Pd 3.303 3.484 1.184
Pd 4.920 3.044 4.893
Pd 4.946 1.536 2.437
Pt 0.822 2.760 0.000
```

The most stable arrangement is b, and the next structure is 0.291 eV/atom less stable.

a | A plane-wave DFT calculation with GGA-PBE was carried out for crystalline AgPd6Pt5 at its relaxed geometry.

SG	Immm

```
12
Lattice="-1.989 3.953 5.956 1.989 -3.953 5.956 1.989 3.953 -5.956" Properties=species:S:1:pos:R:3 pbc="T T T"
Ag 0.000 0.000 0.000
Pd 1.989 -1.991 3.959
Pd 1.989 1.958 0.000
Pd 0.000 1.962 1.997
Pd 1.989 1.991 3.959
Pd 0.000 1.995 5.956
Pd 0.000 5.943 1.997
Pt 1.989 0.000 2.034
Pt 0.000 0.000 4.017
Pt 0.000 3.953 0.000
Pt 0.000 0.000 7.894
Pt 0.000 3.953 3.922
```

b | A plane-wave DFT calculation with GGA-PBE was carried out for crystalline AgPd6Pt5 at its relaxed geometry.

SG	C2/m

```
12
Lattice="1.995 -5.945 0.000 1.995 5.945 0.000 -0.017 0.000 7.898" Properties=species:S:1:pos:R:3 pbc="T T T"
Ag 0.000 0.000 0.000
Pd 1.991 3.954 1.983
Pd 1.984 3.954 5.916
Pd 1.992 0.000 1.976
Pd 1.982 0.000 5.923
Pd 1.991 -3.954 1.983
Pd 1.984 -3.954 5.916
Pt -0.008 0.000 3.949
Pt 1.995 2.013 0.000
Pt 1.987 1.959 3.949
Pt 1.987 -1.959 3.949
Pt 1.995 -2.013 0.000
```

The most stable arrangement is a, and the next structure is 0.006 eV/atom less stable.